## CaIr2Au (PBE)

Data for a geometry-optimized CaIr2Au structure.

CIF file:
```
data_CaIr2Au
_cell_length_a 4.6439
_cell_length_b 4.6439
_cell_length_c 4.6439
_cell_angle_alpha 60.00
_cell_angle_beta 60.00
_cell_angle_gamma 60.00
_space_group_name_H-M_alt 'P 1'
_space_group_IT_number 1
loop_
_space_group_symop_operation_xyz
'x,y,z'
loop_
_atom_site_label
_atom_site_type_symbol
_atom_site_fract_x
_atom_site_fract_y
_atom_site_fract_z
Ir1 Ir 0.7500 0.7500 0.7500
Ca1 Ca 0.0000 0.0000 0.0000
Au1 Au 0.5000 0.5000 0.5000
Ir2 Ir 0.2500 0.2500 0.2500
```

Values from the calculation:
Its formation energy is 0.351 eV/atom. The electronic total energy is -0.397 Ry per atom. The value obtained for the magnetization is 0.0 Bohr magnetons per cell.



## CaIrAu (PBE)

Data for a geometry-optimized CaIrAu structure.

CIF file:
```
data_CaIrAu
_cell_length_a 6.7346
_cell_length_b 6.7345
_cell_length_c 3.0026
_cell_angle_alpha 77.12
_cell_angle_beta 77.12
_cell_angle_gamma 25.76
_space_group_name_H-M_alt 'P 1'
_space_group_IT_number 1
loop_
_space_group_symop_operation_xyz
'x,y,z'
loop_
_atom_site_label
_atom_site_type_symbol
_atom_site_fract_x
_atom_site_fract_y
_atom_site_fract_z
Au1 Au 0.9897 0.9897 0.0103
Ir1 Ir 0.3364 0.3364 0.6636
Ca1 Ca 0.6739 0.6739 0.3261
```

Values from the calculation:
Its formation energy is 0.013 eV/atom. The electronic total energy is -0.345 Ry per atom. The value obtained for the magnetization is 0.0 Bohr magnetons per cell.



## CaIr2Au (PBE)

Data for a geometry-optimized CaIr2Au structure.

CIF file:
```
data_CaIr2Au
_cell_length_a 2.8295
_cell_length_b 2.8295
_cell_length_c 9.4608
_cell_angle_alpha 90.00
_cell_angle_beta 90.00
_cell_angle_gamma 113.97
_space_group_name_H-M_alt 'P 1'
_space_group_IT_number 1
loop_
_space_group_symop_operation_xyz
'x,y,z'
loop_
_atom_site_label
_atom_site_type_symbol
_atom_site_fract_x
_atom_site_fract_y
_atom_site_fract_z
Ir1 Ir 0.0000 0.0000 0.4997
Ir2 Ir 0.0000 0.0000 0.0003
Ca1 Ca 0.5000 0.5000 0.7500
Au1 Au 0.5000 0.5000 0.2500
```

Values from the calculation:
Its formation energy is 0.358 eV/atom. The electronic total energy is -0.396 Ry per atom. The value obtained for the magnetization is 0.0 Bohr magnetons per cell.



## Ca6IrAu (PBE)

Data for a geometry-optimized Ca6IrAu structure.

CIF file:
```
data_Ca6IrAu
_cell_length_a 6.9473
_cell_length_b 6.9473
_cell_length_c 13.5378
_cell_angle_alpha 90.00
_cell_angle_beta 90.00
_cell_angle_gamma 120.00
_space_group_name_H-M_alt 'P 1'
_space_group_IT_number 1
loop_
_space_group_symop_operation_xyz
'x,y,z'
loop_
_atom_site_label
_atom_site_type_symbol
_atom_site_fract_x
_atom_site_fract_y
_atom_site_fract_z
Ir1 Ir 0.0000 0.0000 0.5000
Ca1 Ca 0.3216 0.9948 0.6199
Au1 Au 0.6667 0.3333 0.7500
Ca2 Ca 0.0052 0.6784 0.8801
Ca3 Ca 0.9948 0.6732 0.3801
Ir2 Ir 0.0000 0.0000 0.0000
Ca4 Ca 0.6784 0.0052 0.3801
Ca5 Ca 0.3216 0.3268 0.8801
Ca6 Ca 0.6732 0.9948 0.8801
Ca7 Ca 0.9948 0.3216 0.1199
Ca8 Ca 0.6784 0.6732 0.1199
Au2 Au 0.3333 0.6667 0.2500
Ca9 Ca 0.0052 0.3268 0.6199
Ca10 Ca 0.3268 0.0052 0.1199
Ca11 Ca 0.3268 0.3216 0.3801
Ca12 Ca 0.6732 0.6784 0.6199
```

Values from the calculation:
Its formation energy is -0.353 eV/atom. The electronic total energy is -0.248 Ry per atom. The value obtained for the magnetization is 0.0 Bohr magnetons per cell.



## CaIr2Au (PBE)

Data for a geometry-optimized CaIr2Au structure.

CIF file:
```
data_CaIr2Au
_cell_length_a 4.6579
_cell_length_b 4.6579
_cell_length_c 4.6579
_cell_angle_alpha 60.00
_cell_angle_beta 60.00
_cell_angle_gamma 60.00
_space_group_name_H-M_alt 'P 1'
_space_group_IT_number 1
loop_
_space_group_symop_operation_xyz
'x,y,z'
loop_
_atom_site_label
_atom_site_type_symbol
_atom_site_fract_x
_atom_site_fract_y
_atom_site_fract_z
Ir1 Ir 0.0000 0.0000 0.0000
Ir2 Ir 0.7500 0.7500 0.7500
Ca1 Ca 0.2500 0.2500 0.2500
Au1 Au 0.5000 0.5000 0.5000
```

Values from the calculation:
Its formation energy is 0.195 eV/atom. The electronic total energy is -0.408 Ry per atom. The value obtained for the magnetization is 1.1 Bohr magnetons per cell.



## CaIrAu (PBE)

Data for a geometry-optimized CaIrAu structure.

CIF file:
```
data_CaIrAu
_cell_length_a 3.0426
_cell_length_b 3.0426
_cell_length_c 7.0873
_cell_angle_alpha 90.00
_cell_angle_beta 90.00
_cell_angle_gamma 120.00
_space_group_name_H-M_alt 'P 1'
_space_group_IT_number 1
loop_
_space_group_symop_operation_xyz
'x,y,z'
loop_
_atom_site_label
_atom_site_type_symbol
_atom_site_fract_x
_atom_site_fract_y
_atom_site_fract_z
Ir1 Ir 0.6667 0.3333 0.6604
Au1 Au 0.0000 0.0000 0.9917
Ca1 Ca 0.3333 0.6667 0.3479
```

Values from the calculation:
Its formation energy is 0.196 eV/atom. The electronic total energy is -0.332 Ry per atom. The value obtained for the magnetization is 0.0 Bohr magnetons per cell.